Record 1
Below is a relaxed structure of Sc3ReH, with properties calculated at the PBE-GGA level.

extended XYZ file:
```
5
Lattice="5.0644 0.0000 0.0000 0.0000 5.0644 0.0000 0.0000 0.0000 5.0644" Properties=species:S:1:pos:R:3 pbc="T T T"
Sc 0.0000 0.0000 2.5322
Sc 0.0000 2.5322 0.0000
Sc 2.5322 0.0000 0.0000
Re 0.0000 0.0000 0.0000
H 2.5322 2.5322 2.5322
```

Output
E above lowest polymorph in meV per atom: 823

=====

Record 2
Below is a relaxed structure of ScTiRe2H, with properties calculated at the PBE-GGA level.

extended XYZ file:
```
5
Lattice="4.9526 0.0000 0.0000 0.0000 4.9526 0.0000 0.0000 0.0000 3.1180" Properties=species:S:1:pos:R:3 pbc="T T T"
Sc 0.0000 0.0000 0.0000
Ti 2.4763 2.4763 1.5590
Re 0.0000 2.4763 0.0000
Re 2.4763 0.0000 0.0000
H 0.0000 0.0000 1.5590
```

Output
Electronic total energy in eV/atom: -7.344

=====

Record-wise total magnetization values, in μB per formula unit: 0.000 0.000
Record-wise Fermi-level density of states values, in states/eV per atom: 0.959 1.209